An optimized crystal structure of Cs4Ac3NbS8, computed with GGA-PBE.

Structure (CIF):
```
data_Cs4Ac3NbS8
_cell_length_a 8.6296
_cell_length_b 8.6296
_cell_length_c 24.3221
_cell_angle_alpha 90.00
_cell_angle_beta 90.00
_cell_angle_gamma 120.00
_space_group_name_H-M_alt 'R -3 m'
_space_group_IT_number 166
_space_group_name_Hall '-R 3 2"'
loop_
_atom_site_label
_atom_site_type_symbol
_atom_site_fract_x
_atom_site_fract_y
_atom_site_fract_z
Cs1 Cs 0.0000 0.0000 0.0000
Cs2 Cs 0.0000 0.5000 0.0000
Ac1 Ac 0.0000 0.5000 0.5000
Nb1 Nb 0.0000 0.0000 0.5000
S1 S 0.0000 0.0000 0.2329
S2 S 0.0328 0.5164 0.2274
```

Output
Energy relative to the elements, uncorrected ... -1.564 eV/atom